Record 1
First-principles (PBE) data for an optimized crystal structure of YPa3Ga12, as listed in Alexandria via LeMat-Bulk.

## Properties
As for the total DFT energy (no corrections): -0.1791 Ha/atom. For the formation energy, the calculation gives -0.419 eV/atom.

a = 4.298 Å, b = 4.298 Å, c = 17.154 Å
α = 90.00°, β = 90.00°, γ = 90.00°
Fractional coordinates of all 16 atoms:
Y (0.000, 0.000, 0.000)
Pa (0.000, 0.000, 0.249)
Pa (0.000, 0.000, 0.500)
Pa (0.000, 0.000, 0.751)
Ga (0.000, 0.500, 0.125)
Ga (0.000, 0.500, 0.375)
Ga (0.000, 0.500, 0.625)
Ga (0.000, 0.500, 0.875)
Ga (0.500, 0.000, 0.125)
Ga (0.500, 0.000, 0.375)
Ga (0.500, 0.000, 0.625)
Ga (0.500, 0.000, 0.875)
Ga (0.500, 0.500, 0.000)
Ga (0.500, 0.500, 0.252)
Ga (0.500, 0.500, 0.500)
Ga (0.500, 0.500, 0.748)

=====

Record 2
First-principles (PBE) data for an optimized crystal structure of InAu3I, as listed in Alexandria via LeMat-Bulk.

## Properties
The formation energy from raw total energies comes out at 3.3 eV per formula unit. The energy above the most stable polymorph in this dataset is 112 meV/atom. As for the total DFT energy (no corrections): -0.0798 Ha/atom.

a = 5.433 Å, b = 5.433 Å, c = 5.433 Å
α = 90.00°, β = 90.00°, γ = 90.00°
Fractional coordinates of all 5 atoms:
In (0.000, 0.000, 0.000)
Au (0.000, 0.500, 0.500)
Au (0.500, 0.000, 0.500)
Au (0.500, 0.500, 0.000)
I (0.500, 0.500, 0.500)